[1]
The following is a DFT calculation (PBE) of AcPmH after structural relaxation.

The space group is P3m1 (No. 156) and the conventional cell measures 3.8665, 3.8665 and 6.1366 Å, with angles of 90.00, 90.00 and 120.00 degrees. The asymmetric unit holds Ac at (0.0000, 0.0000, 0.0000), Pm at (0.6667, 0.3333, 0.5193) and H at (0.3333, 0.6667, 0.7268).

The calculation puts the mass density at 7.8 g/cm3. As for the energy relative to the lowest polymorph listed for this composition: 0.092 eV/atom. As for the crystal system: trigonal.


[2]
The following is a DFT calculation (PBE) of Th3Te12Pb5 after structural relaxation.

The space group is Ia-3d (No. 230) and the conventional cell measures 18.430, 18.430 and 18.430 Å, with angles of 90.00, 90.00 and 90.00 degrees. The asymmetric unit holds Th at (0.000, 0.250, 0.125), Te at (0.013, 0.072, 0.655), Pb at (0.000, 0.000, 0.000) and Pb at (0.000, 0.250, 0.375).

The calculation puts the mass density at 6.9 g/cm3. As for the formation energy without anion corrections: -554.1 meV per atom. As for the crystal system: cubic.


[3]
The following is a DFT calculation (PBE) of HfSe2Cl12 after structural relaxation.

The space group is Fdd2 (No. 43) and the conventional cell measures 12.802, 13.469 and 22.424 Å, with angles of 90.00, 90.00 and 90.00 degrees. The asymmetric unit holds Hf at (0.000, 0.000, 0.000), Se at (0.001, 0.234, 0.582), Cl at (0.099, 0.184, 0.508), Cl at (0.101, 0.175, 0.655), Cl at (0.104, 0.417, 0.580), Cl at (0.112, 0.390, 0.077), Cl at (0.114, 0.148, 0.004) and Cl at (0.114, 0.426, 0.425).

The calculation puts the mass density at 2.6 g/cm3. As for the formation energy without anion corrections: -845.0 meV per atom. As for the crystal system: orthorhombic.


[4]
The following is a DFT calculation (PBE) of Dy2Re3N8 after structural relaxation.

The space group is C2/m (No. 12) and the conventional cell measures 11.549, 6.274 and 5.028 Å, with angles of 90.00, 112.01 and 90.00 degrees. The asymmetric unit holds Dy at (0.239, 0.000, 0.158), Re at (0.000, 0.205, 0.500), Re at (0.000, 0.500, 0.000), N at (0.100, 0.500, 0.405), N at (0.106, 0.275, 0.901) and N at (0.112, 0.000, 0.428).

The calculation puts the mass density at 9.8 g/cm3. As for the formation energy without anion corrections: -400.3 meV per atom. As for the crystal system: monoclinic.


[5]
The following is a DFT calculation (PBE) of Li2GaN after structural relaxation.

The space group is Fm-3m (No. 225) and the conventional cell measures 5.710, 5.710 and 5.710 Å, with angles of 90.00, 90.00 and 90.00 degrees. The asymmetric unit holds Li at (0.250, 0.250, 0.250), Ga at (0.000, 0.000, 0.000) and N at (0.000, 0.000, 0.500).

The calculation puts the mass density at 3.5 g/cm3. As for the formation energy without anion corrections: 282.2 meV per atom. As for the energy relative to the lowest polymorph listed for this composition: 0.593 eV/atom. As for the crystal system: cubic.


[6]
The following is a DFT calculation (PBE) of LiFePd4 after structural relaxation.

The space group is R-3m (No. 166, hexagonal axes) and the conventional cell measures 4.1107, 4.1107 and 19.7008 Å, with angles of 90.00, 90.00 and 120.00 degrees. The asymmetric unit holds Li at (0.0000, 0.0000, 0.0000), Fe at (0.0000, 0.0000, 0.5000), Pd at (0.0000, 0.0000, 0.1244) and Pd at (0.0000, 0.0000, 0.3735).

The calculation puts the mass density at 8.4 g/cm3. The formation energy is 69 meV/atom. As for the energy relative to the lowest polymorph listed for this composition: 0.148 eV/atom. As for the crystal system: trigonal.


[7]
The following is a DFT calculation (PBE) of Ca2HoPdO4 after structural relaxation.

The space group is P2/m (No. 10) and the conventional cell measures 6.042, 3.341 and 6.129 Å, with angles of 90.00, 115.19 and 90.00 degrees. The asymmetric unit holds Ca at (0.000, 0.000, 0.000), Ca at (0.000, 0.500, 0.500), Ho at (0.500, 0.000, 0.500), Pd at (0.500, 0.500, 0.000), O at (0.232, 0.500, 0.288) and O at (0.272, 0.000, 0.734).

The calculation puts the mass density at 6.2 g/cm3. As for the formation energy without anion corrections: -2426.7 meV per atom. As for the crystal system: monoclinic.


[8]
The following is a DFT calculation (PBE) of BaFe2Ir after structural relaxation.

The space group is P4mm (No. 99) and the conventional cell measures 3.206, 3.206 and 7.595 Å, with angles of 90.00, 90.00 and 90.00 degrees. The asymmetric unit holds Ba at (0.000, 0.000, 0.000), Fe at (0.000, 0.000, 0.503), Fe at (0.500, 0.500, 0.350) and Ir at (0.500, 0.500, 0.674).

The calculation puts the mass density at 9.4 g/cm3. The formation energy is 468 meV/atom. As for the crystal system: tetragonal.


[9]
The following is a DFT calculation (PBE) of ScTeAuN2 after structural relaxation.

The space group is P4/mmm (No. 123) and the conventional cell measures 4.079, 4.079 and 6.293 Å, with angles of 90.00, 90.00 and 90.00 degrees. The asymmetric unit holds Sc at (0.000, 0.000, 0.000), Te at (0.000, 0.000, 0.500), Au at (0.500, 0.500, 0.500) and N at (0.000, 0.500, 0.000).

The calculation puts the mass density at 6.3 g/cm3. As for the formation energy without anion corrections: 717.9 meV per atom. As for the energy relative to the lowest polymorph listed for this composition: 0.000 eV/atom. As for the crystal system: tetragonal.


[10]
The following is a DFT calculation (PBE) of DyInCu2 after structural relaxation.

The space group is P4/mmm (No. 123) and the conventional cell measures 4.623, 4.623 and 3.597 Å, with angles of 90.00, 90.00 and 90.00 degrees. The asymmetric unit holds Dy at (0.000, 0.000, 0.000), In at (0.500, 0.500, 0.000) and Cu at (0.000, 0.500, 0.500).

The calculation puts the mass density at 8.7 g/cm3. The formation energy is -128 meV/atom. As for the crystal system: tetragonal.


[11]
The following is a DFT calculation (PBE) of LiHfB after structural relaxation.

The space group is P6_3/mmc (No. 194) and the conventional cell measures 4.1918, 4.1918 and 5.0052 Å, with angles of 90.00, 90.00 and 120.00 degrees. The asymmetric unit holds Li at (0.0000, 0.0000, 0.0000), Hf at (0.3333, 0.6667, 0.2500) and B at (0.3333, 0.6667, 0.7500).

The calculation puts the mass density at 8.6 g/cm3. The formation energy is -228 meV/atom. As for the energy relative to the lowest polymorph listed for this composition: 0.128 eV/atom. As for the crystal system: hexagonal.


Let's list calculated total energy in order: -4.23 -4.48 -3.45 -9.10 -3.51 -5.12 -6.63 -6.46 -5.16 -4.01 -6.41 eV per atom.
Let's list magnetic moment in order: 0.0 0.0 0.0 0.0 0.0 4.5 1.0 6.0 1.1 0.0 0.0 μB per formula unit.